This record from the Alexandria database describes crystalline MnW2Br at its relaxed geometry. The functional is PBE.

Geometry as POSCAR:
```
MnW2Br
1.0
2.941 0.000 0.000
0.000 2.941 0.000
0.000 0.000 6.977
Br Mn W
1 1 2
Direct
0.500 0.500 0.250
0.500 0.500 0.750
0.000 0.000 0.977
0.000 0.000 0.523
```

Computed properties:
Crystal system: tetragonal
Offset from the most stable computed form, meV per atom: 240.8
Density of states at the Fermi level, states/eV/cell: 1.24